Entry 1:
Density functional theory data (PBE-GGA) for a relaxed structure of MnAgP2.

Properties
Density of states at the Fermi level: 0.495 states/eV/atom
Space-group type: I-42d (122)
Distance to the lowest polymorph of the same formula: 194 meV per atom
Magnetic moment: 3.83 μB/cell

Unit cell a=5.495 b=5.495 c=6.564 alpha=65.26 beta=65.26 gamma=90.00
Each line ends with the local moment (μB).
Element x y z (fractional)
1 P 0.576 0.125 0.250  -0.13
2 P 0.174 0.625 0.250  -0.13
3 P 0.375 0.424 0.750  -0.13
4 P 0.875 0.826 0.750  -0.13
5 Mn 0.500 0.500 0.000  2.15
6 Mn 0.250 0.750 0.500  2.15
7 Ag 0.000 0.000 0.000  -0.02
8 Ag 0.750 0.250 0.500  -0.02



Entry 2:
Density functional theory data (PBE-GGA) for a relaxed structure of MnAg2P.

Properties
Density of states at the Fermi level: 0.399 states/eV/atom
VASP energy: -19.4 eV per cell
Space-group type: Imm2 (44)
Magnetic moment: 3.64 μB/cell

Unit cell a=5.132 b=5.132 c=5.132 alpha=141.47 beta=126.95 gamma=67.46
Each line ends with the local moment (μB).
Element x y z (fractional)
1 Ag 0.023 0.023 0.000  0.03
2 Ag 0.739 0.239 0.500  0.03
3 Mn 0.463 0.463 0.000  3.45
4 P 0.275 0.775 0.500  -0.04



Q: magnetic moment of number 1 (MnAgP2)?
A: 3.83 μB/cell



Q: Which of these has the lowest magnetic moment?
A: MnAg2P



Q: Which of these has the lowest magnetic moment?
A: MnAg2P



Q: Among the records above, which one has the highest magnetic moment?
A: MnAgP2